## a
The following is a PBE calculation of a relaxed Al3Mo2 crystal, from the Alexandria database.

Cell: 4.4338 4.4338 5.2834 Å, 90.00 90.00 120.00°
Last column: nearest neighbours and their distance in Å.
Sites, in units of the cell vectors:
Al (0.0000, 0.0000, 0.0000)  6 Mo 2.61
Al (0.3333, 0.6667, 0.3935)  2 Mo 2.59-2.69, 3 Al 2.80
Al (0.6667, 0.3333, 0.6065)  2 Mo 2.59-2.69, 3 Al 2.80
Mo (0.3333, 0.6667, 0.9034)  5 Al 2.59-2.69, 3 Mo 2.76
Mo (0.6667, 0.3333, 0.0966)  5 Al 2.59-2.69, 3 Mo 2.76

Calculated values
Its symmetry is P-3m1, No. 164.

## b
The following is a PBE calculation of a relaxed Al3Mo2 crystal, from the Alexandria database.

Cell: 6.8913 5.2328 7.8052 Å, 60.02 41.13 78.85°
Last column: nearest neighbours and their distance in Å.
Sites, in units of the cell vectors:
Al (0.0000, 0.0000, 0.0000)  4 Mo 2.57-2.60, 4 Al 2.62-2.69
Al (0.2500, 0.2500, 0.2500)  4 Mo 2.57-2.60, 4 Al 2.62-2.69
Al (0.4063, 0.7512, 0.3737)  4 Al 2.62-2.69, 6 Mo 2.68-2.93
Al (0.7512, 0.4063, 0.4687)  4 Al 2.62-2.69, 6 Mo 2.68-2.93
Al (0.7813, 0.8763, 0.4988)  4 Al 2.62-2.69, 6 Mo 2.68-2.93
Al (0.8763, 0.7813, 0.8437)  4 Al 2.62-2.69, 6 Mo 2.68-2.93
Mo (0.2117, 0.4788, 0.9011)  7 Al 2.57-2.77
Mo (0.3489, 0.8416, 0.0383)  7 Al 2.57-2.77
Mo (0.4788, 0.2117, 0.4084)  7 Al 2.57-2.77
Mo (0.8416, 0.3489, 0.7712)  7 Al 2.57-2.77

Calculated values
Its symmetry is Fdd2, No. 43.

Which structure is the least stable? The one labeled a.

## a
The following is a PBE calculation of a relaxed Al4Mo3 crystal, from the Alexandria database.

Cell: 10.5965 10.5965 10.5965 Å, 162.46 162.46 24.91°
Last column: nearest neighbours and their distance in Å.
Sites, in units of the cell vectors:
Al (0.0681, 0.0681, 0.0000)  4 Mo 2.68, 5 Al 2.77-2.82
Al (0.3566, 0.3566, 0.0000)  6 Mo 2.74-2.97, 4 Al 2.77
Al (0.6434, 0.6434, 0.0000)  6 Mo 2.74-2.97, 4 Al 2.77
Al (0.9319, 0.9319, 0.0000)  4 Mo 2.68, 5 Al 2.77-2.82
Mo (0.2166, 0.2166, 0.0000)  4 Mo 2.67, 5 Al 2.74-2.90
Mo (0.5000, 0.5000, 0.0000)  10 Al 2.68-2.97
Mo (0.7834, 0.7834, 0.0000)  4 Mo 2.67, 5 Al 2.74-2.90

Calculated values
Its symmetry is I4/mmm, No. 139.

## b
The following is a PBE calculation of a relaxed Al4Mo3 crystal, from the Alexandria database.

Cell: 5.2798 5.2798 4.8446 Å, 90.00 90.00 120.00°
Last column: nearest neighbours and their distance in Å.
Sites, in units of the cell vectors:
Al (0.0000, 0.0000, 0.2492)  2 Al 2.41-2.43
Al (0.0000, 0.0000, 0.7508)  2 Al 2.41-2.43
Al (0.3333, 0.6667, 0.0000)  6 Mo 2.86, 3 Al 3.05
Al (0.6667, 0.3333, 0.0000)  6 Mo 2.86, 3 Al 3.05
Mo (0.0000, 0.5000, 0.5000)  4 Mo 2.64, 8 Al 2.86-2.91
Mo (0.5000, 0.0000, 0.5000)  4 Mo 2.64, 8 Al 2.86-2.91
Mo (0.5000, 0.5000, 0.5000)  4 Mo 2.64, 8 Al 2.86-2.91

Calculated values
Its symmetry is P6/mmm, No. 191.

Which structure is the least stable? The one labeled b.

## a
The following is a PBE calculation of a relaxed Al5Mo3 crystal, from the Alexandria database.

Cell: 5.8314 5.8314 3.5812 Å, 90.00 90.00 91.39°
Last column: nearest neighbours and their distance in Å.
Sites, in units of the cell vectors:
Al (0.0000, 0.0000, 0.0000)  4 Mo 2.58, 4 Al 2.82
Al (0.0000, 0.5000, 0.0000)  6 Al 2.71-2.92, 6 Mo 2.76-2.92
Al (0.2605, 0.7395, 0.5000)  6 Mo 2.68-2.99, 6 Al 2.71-2.82
Al (0.5000, 0.0000, 0.0000)  6 Al 2.71-2.92, 6 Mo 2.76-2.92
Al (0.7395, 0.2605, 0.5000)  6 Mo 2.68-2.99, 6 Al 2.71-2.82
Mo (0.2275, 0.2275, 0.5000)  8 Al 2.58-2.86, 2 Mo 2.85
Mo (0.5000, 0.5000, 0.0000)  8 Al 2.68-2.92, 4 Mo 2.85
Mo (0.7725, 0.7725, 0.5000)  8 Al 2.58-2.86, 2 Mo 2.85

Calculated values
Its symmetry is Cmmm, No. 65.

## b
The following is a PBE calculation of a relaxed Al5Mo3 crystal, from the Alexandria database.

Cell: 7.7395 7.7395 4.9388 Å, 90.00 90.00 120.00°
Last column: nearest neighbours and their distance in Å.
Sites, in units of the cell vectors:
Al (0.0000, 0.2281, 0.2500)  5 Mo 2.69-2.88
Al (0.0000, 0.7719, 0.7500)  5 Mo 2.69-2.88
Al (0.2281, 0.0000, 0.2500)  5 Mo 2.69-2.88
Al (0.2281, 0.2281, 0.7500)  5 Mo 2.69-2.88
Al (0.3333, 0.6667, 0.0000)  2 Al 2.47, 6 Mo 2.67
Al (0.3333, 0.6667, 0.5000)  2 Al 2.47, 6 Mo 2.67
Al (0.6667, 0.3333, 0.0000)  2 Al 2.47, 6 Mo 2.67
Al (0.6667, 0.3333, 0.5000)  2 Al 2.47, 6 Mo 2.67
Al (0.7719, 0.0000, 0.7500)  5 Mo 2.69-2.88
Al (0.7719, 0.7719, 0.2500)  5 Mo 2.69-2.88
Mo (0.0000, 0.3999, 0.7500)  9 Al 2.67-2.88, 2 Mo 2.92
Mo (0.0000, 0.6001, 0.2500)  9 Al 2.67-2.88, 2 Mo 2.92
Mo (0.3999, 0.0000, 0.7500)  9 Al 2.67-2.88, 2 Mo 2.92
Mo (0.3999, 0.3999, 0.2500)  9 Al 2.67-2.88, 2 Mo 2.92
Mo (0.6001, 0.0000, 0.2500)  9 Al 2.67-2.88, 2 Mo 2.92
Mo (0.6001, 0.6001, 0.7500)  9 Al 2.67-2.88, 2 Mo 2.92

Calculated values
Its symmetry is P6_3/mcm, No. 193.

Which structure is the least stable? The one labeled b.

## a
The following is a PBE calculation of a relaxed Al3MoN crystal, from the Alexandria database.

Cell: 4.0072 4.0072 4.0072 Å, 90.00 90.00 90.00°
Last column: nearest neighbours and their distance in Å.
Sites, in units of the cell vectors:
Al (0.0000, 0.0000, 0.5000)  2 N 2.00
Al (0.0000, 0.5000, 0.0000)  2 N 2.00
Al (0.5000, 0.0000, 0.0000)  2 N 2.00
Mo (0.5000, 0.5000, 0.5000)  12 Al 2.83
N (0.0000, 0.0000, 0.0000)  6 Al 2.00

Calculated values
Its symmetry is Pm-3m, No. 221.

## b
The following is a PBE calculation of a relaxed Al3MoN crystal, from the Alexandria database.

Cell: 4.9078 4.9078 4.9078 Å, 90.00 90.00 90.00°
Last column: nearest neighbours and their distance in Å.
Sites, in units of the cell vectors:
Al (0.0000, 0.0000, 0.5000)  2 Mo 2.45
Al (0.0000, 0.5000, 0.0000)  2 Mo 2.45
Al (0.5000, 0.0000, 0.0000)  2 Mo 2.45
Mo (0.0000, 0.0000, 0.0000)  6 Al 2.45
N (0.5000, 0.5000, 0.5000)  12 Al 3.47

Calculated values
Its symmetry is Pm-3m, No. 221.

Which structure is the least stable? The one labeled b.

## a
The following is a PBE calculation of a relaxed AlMoSeN2 crystal, from the Alexandria database.

Cell: 3.7853 3.7853 4.9980 Å, 90.00 90.00 90.00°
Last column: nearest neighbours and their distance in Å.
Sites, in units of the cell vectors:
Al (0.0000, 0.0000, 0.0000)  4 N 1.89
Mo (0.5000, 0.5000, 0.5000)  4 Se 2.68
Se (0.0000, 0.0000, 0.5000)  2 Al 2.50, 4 Mo 2.68
N (0.0000, 0.5000, 0.0000)  2 Al 1.89
N (0.5000, 0.0000, 0.0000)  2 Al 1.89

Calculated values
Its symmetry is P4/mmm, No. 123.

## b
The following is a PBE calculation of a relaxed AlMoSeN2 crystal, from the Alexandria database.

Cell: 3.9045 3.9045 5.3035 Å, 90.00 90.00 90.00°
Last column: nearest neighbours and their distance in Å.
Sites, in units of the cell vectors:
Al (0.0000, 0.0000, 0.0000)  4 Se 2.76
Mo (0.5000, 0.5000, 0.5000)  4 N 1.95
Se (0.5000, 0.5000, 0.0000)  2 Mo 2.65, 4 Al 2.76
N (0.0000, 0.5000, 0.5000)  2 Mo 1.95
N (0.5000, 0.0000, 0.5000)  2 Mo 1.95

Calculated values
Its symmetry is P4/mmm, No. 123.

Which structure is the least stable? The one labeled a.